Density functional theory data (GGA-PBE) for a relaxed YHfTe2 crystal.

Structure (POSCAR):
```
YHfTe2
1.0
7.493 0.000 0.000
0.000 7.493 0.000
0.000 0.000 7.493
Y Hf Te
4 4 8
Direct
0.000 0.000 0.000
0.000 0.500 0.500
0.500 0.000 0.500
0.500 0.500 0.000
0.250 0.250 0.250
0.250 0.750 0.750
0.750 0.250 0.750
0.750 0.750 0.250
0.000 0.000 0.500
0.000 0.500 0.000
0.250 0.250 0.750
0.250 0.750 0.250
0.500 0.000 0.000
0.500 0.500 0.500
0.750 0.250 0.250
0.750 0.750 0.750
```

Summary:
magnetization: 2.34 μB per formula unit
final energy: -5.69 eV/atom
space-group type: F-43m

---

Density functional theory data (GGA-PBE) for a relaxed Y2HfTe2 crystal.

Structure (POSCAR):
```
Y2HfTe2
1.0
4.913 0.000 0.000
0.000 4.913 0.000
0.000 0.000 12.763
Y Hf Te
4 2 4
Direct
0.000 0.500 0.250
0.000 0.500 0.750
0.500 0.000 0.250
0.500 0.000 0.750
0.000 0.000 0.000
0.500 0.500 0.500
0.000 0.000 0.380
0.000 0.000 0.620
0.500 0.500 0.120
0.500 0.500 0.880
```

Summary:
magnetization: 0.00 μB per formula unit
final energy: -5.87 eV/atom
space-group type: I4/mmm

---

Which formula does entry 2 have? Y2HfTe2

---

Look up the final energy of the first one. -5.69 eV/atom